Entry 1:
Entry from Alexandria via LeMat-Bulk: a relaxed structure of CeYCu2Ge2 (PBE-GGA).

The structure belongs to space group P-3m1 (No. 164); the cell edges are 4.2456, 4.2456 and 7.6792 Å and the angles 90.00°, 90.00° and 120.00°. The distinct sites, in fractional coordinates, are Ce at (0.0000, 0.0000, 0.0000), Y at (0.0000, 0.0000, 0.5000), Cu at (0.3333, 0.6667, 0.2602) and Ge at (0.3333, 0.6667, 0.7472).

As for the energy of formation from the pure elements: -0.643 eV/atom. The value obtained for the density of states at the Fermi level is 6.566 states/eV/cell.

Entry 2:
Entry from Alexandria via LeMat-Bulk: a relaxed structure of CeZnCuGe2 (PBE-GGA).

The structure belongs to space group I-4m2 (No. 119); the cell edges are 4.1363, 4.1363 and 10.8185 Å and the angles 90.00°, 90.00° and 90.00°. The distinct sites, in fractional coordinates, are Ce at (0.0000, 0.0000, 0.0000), Zn at (0.0000, 0.5000, 0.7500), Cu at (0.0000, 0.5000, 0.2500) and Ge at (0.0000, 0.0000, 0.3826).

As for the energy of formation from the pure elements: -0.439 eV/atom. The value obtained for the density of states at the Fermi level is 12.992 states/eV/cell.

Entry 3:
Entry from Alexandria via LeMat-Bulk: a relaxed structure of Ce12Cu3H5 (PBE-GGA).

The structure belongs to space group Ia-3d (No. 230); the cell edges are 15.0781, 15.0781 and 15.0781 Å and the angles 90.00°, 90.00° and 90.00°. The distinct sites, in fractional coordinates, are Ce at (0.0430, 0.0692, 0.6493), Cu at (0.0000, 0.2500, 0.1250), H at (0.0000, 0.0000, 0.0000) and H at (0.0000, 0.2500, 0.3750).

The value obtained for the density of states at the Fermi level is 462.283 states/eV/cell.

Entry 4:
Entry from Alexandria via LeMat-Bulk: a relaxed structure of Ce3Cu5H12 (PBE-GGA).

The structure belongs to space group Ia-3d (No. 230); the cell edges are 11.8046, 11.8046 and 11.8046 Å and the angles 90.00°, 90.00° and 90.00°. The distinct sites, in fractional coordinates, are Ce at (0.0000, 0.2500, 0.1250), Cu at (0.0000, 0.0000, 0.0000), Cu at (0.0000, 0.2500, 0.3750) and H at (0.0352, 0.0487, 0.6469).

The value obtained for the density of states at the Fermi level is 130.751 states/eV/cell.

Entry 5:
Entry from Alexandria via LeMat-Bulk: a relaxed structure of Ce3CuH3 (PBE-GGA).

The structure belongs to space group Pm-3n (No. 223); the cell edges are 6.3320, 6.3320 and 6.3320 Å and the angles 90.00°, 90.00° and 90.00°. The distinct sites, in fractional coordinates, are Ce at (0.0000, 0.2500, 0.5000), Cu at (0.0000, 0.0000, 0.0000) and H at (0.0000, 0.5000, 0.2500).

The value obtained for the density of states at the Fermi level is 35.485 states/eV/cell.

Entry 6:
Entry from Alexandria via LeMat-Bulk: a relaxed structure of CeCuH6Ir (PBE-GGA).

The structure belongs to space group P-6m2 (No. 187); the cell edges are 4.6296, 4.6296 and 4.3622 Å and the angles 90.00°, 90.00° and 120.00°. The distinct sites, in fractional coordinates, are Ce at (0.0000, 0.0000, 0.0000), Cu at (0.3333, 0.6667, 0.5000), H at (0.5051, 0.0102, 0.2370) and Ir at (0.6667, 0.3333, 0.5000).

The value obtained for the density of states at the Fermi level is 6.576 states/eV/cell.

Number 1: total magnetization 0.88 μB per formula unit, DFT total energy -0.2063 Ha/atom, calculated volume 20.0 Å³ per atom. Number 2: total magnetization 0.87 μB per formula unit, DFT total energy -0.1671 Ha/atom, calculated volume 18.5 Å³ per atom. Number 3: total magnetization 10.67 μB per formula unit, DFT total energy -0.1858 Ha/atom, calculated volume 21.4 Å³ per atom. Number 4: total magnetization 2.58 μB per formula unit, DFT total energy -0.1500 Ha/atom, calculated volume 10.3 Å³ per atom. Number 5: total magnetization 4.35 μB per formula unit, DFT total energy -0.1716 Ha/atom, calculated volume 18.1 Å³ per atom. Number 6: total magnetization 0.78 μB per formula unit, DFT total energy -0.1701 Ha/atom, calculated volume 9.0 Å³ per atom.